No. 1
VASP calculation (PBE) on crystalline BaCd2Pt at its relaxed geometry.

Computed properties:
The density is 9.05 Mg/m³. Its space group is P4/mmm (123). The calculated volume is 102.3 Å³/f.u. The formation energy comes out at -0.242 eV per atom.

POSCAR file:
```
BaCd2Pt
1.0
3.629 0.000 0.000
0.000 3.629 0.000
0.000 0.000 7.767
Ba Pt Cd
1 1 2
Cartesian
1.814 1.814 5.825 Ba
1.814 1.814 1.942 Pt
0.000 0.000 0.519 Cd
0.000 0.000 3.365 Cd
```

No. 2
VASP calculation (PBE) on crystalline Sm3Th3Si4 at its relaxed geometry.

Computed properties:
The density is 8.30 Mg/m³. Its space group is Amm2 (38). The calculated volume is 251.9 Å³/f.u. The formation energy (no corrections) comes out at -0.6237 eV per atom.

POSCAR file:
```
Sm3Th3Si4
1.0
4.120 0.000 0.000
0.000 7.819 -0.035
0.000 0.033 7.819
Sm Th Si
3 3 4
Cartesian
2.060 6.434 1.362 Sm
2.060 2.543 2.518 Sm
2.060 5.312 5.263 Sm
0.000 3.926 7.795 Th
0.000 0.024 3.926 Th
2.060 1.434 6.406 Th
0.000 4.813 2.997 Si
0.000 3.049 4.777 Si
0.000 6.949 6.907 Si
0.000 0.885 0.895 Si
```

No. 3
VASP calculation (PBE) on crystalline KAs at its relaxed geometry.

Computed properties:
The density is 2.38 Mg/m³. Its space group is Pmma (51). For the energy above the most stable polymorph in this dataset, the calculation gives 110 meV per atom. The calculated volume is 79.5 Å³/f.u. The formation energy comes out at -0.354 eV per atom.

POSCAR file:
```
KAs
1.0
4.102 0.000 0.000
0.000 5.081 0.000
0.000 0.000 7.633
K As
2 2
Cartesian
3.076 0.000 5.981 K
1.025 0.000 1.652 K
1.025 2.540 6.871 As
3.076 2.540 0.762 As
```

No. 4
VASP calculation (PBE) on crystalline HoBeZn at its relaxed geometry.

Computed properties:
The density is 7.30 Mg/m³. Its space group is P-6m2 (187). For the energy above the most stable polymorph in this dataset, the calculation gives 5 meV per atom. The calculated volume is 54.4 Å³/f.u. The formation energy comes out at -0.155 eV per atom.

POSCAR file:
```
HoBeZn
1.0
-0.762 -3.439 -0.076
4.099 -0.918 0.441
-2.439 0.465 3.416
Be Zn Ho
1 1 1
Cartesian
-0.387 -0.568 2.412 Be
-0.127 -0.574 -0.013 Zn
1.411 -2.750 1.382 Ho
```

No. 5
VASP calculation (PBE) on crystalline PbCl3F4 at its relaxed geometry.

Computed properties:
The density is 3.10 Mg/m³. Its space group is P-1 (2). The calculated volume is 209.0 Å³/f.u. The formation energy (no corrections) comes out at -1.1387 eV per atom.

POSCAR file:
```
PbCl3F4
1.0
4.329 0.714 0.414
1.270 10.352 -3.830
0.879 -4.254 11.316
Pb F Cl
2 8 6
Cartesian
4.456 -2.895 11.190 Pb
2.993 4.796 -1.220 Pb
3.575 0.589 1.786 F
2.272 -3.094 10.940 F
1.841 5.128 5.734 F
2.549 6.412 -0.008 F
0.848 4.282 -1.384 F
3.875 1.312 8.184 F
3.114 3.436 0.559 F
4.336 -1.535 9.411 F
2.123 -1.337 4.773 Cl
5.041 6.417 2.410 Cl
3.681 5.836 3.730 Cl
5.332 3.238 5.196 Cl
2.749 -0.126 6.213 Cl
4.706 2.027 3.756 Cl
```

No. 6
VASP calculation (PBE) on crystalline PrPaSn at its relaxed geometry.

Computed properties:
The density is 8.75 Mg/m³. Its space group is I4mm (107). For the energy above the most stable polymorph in this dataset, the calculation gives 500 meV per atom. The calculated volume is 93.1 Å³/f.u. The formation energy comes out at 0.407 eV per atom.

POSCAR file:
```
PrPaSn
1.0
3.205 0.000 0.000
0.000 3.205 0.000
-1.603 -1.603 9.061
Pr Pa Sn
1 1 1
Cartesian
0.000 0.000 2.369 Pr
1.603 1.603 4.932 Pa
1.603 1.603 8.103 Sn
```

Number 1: M_tot 0.0 μB/f.u.. Number 2: M_tot 0.0 μB/f.u.. Number 3: M_tot 0.0 μB/f.u.. Number 4: M_tot 0.0 μB/f.u.. Number 5: M_tot 0.3 μB/f.u.. Number 6: M_tot 0.6 μB/f.u..